[1]
Compound: Ta2AgBiAs
Source: Alexandria
Functional: GGA-PBE
Structure: relaxed

Summary:
Uncorrected energy   -29.61 eV per cell

Cell lengths 4.7790, 5.5572, 4.7790 Å; angles 90.00, 90.00, 90.00 degrees
Sites, in units of the cell vectors:
As1 0.0000 0.0000 0.0000
Bi1 0.0000 0.5000 0.0000
Ta1 0.0000 0.0000 0.5000
Ta2 0.5000 0.0000 0.0000
Ag1 0.5000 0.5000 0.5000



[2]
Compound: Sm2ThSc3
Source: Alexandria
Functional: GGA-PBE
Structure: relaxed

Summary:
Distance to the lowest polymorph of the same formula   0 meV/atom

Cell lengths 3.5293, 3.5293, 13.7949 Å; angles 90.00, 90.00, 90.00 degrees
Sites, in units of the cell vectors:
Sc1 0.0000 0.0000 0.3382
Sc2 0.0000 0.0000 0.6618
Sm1 0.5000 0.5000 0.8329
Th1 0.5000 0.5000 0.5000
Sm2 0.5000 0.5000 0.1671
Sc3 0.0000 0.0000 0.0000



[3]
Compound: PrMgGa4Au2
Source: Alexandria
Functional: GGA-PBE
Structure: relaxed

Summary:
Uncorrected energy   -28.08 eV per cell

Cell lengths 4.4985, 4.4985, 9.4590 Å; angles 76.24, 76.24, 60.00 degrees
Sites, in units of the cell vectors:
Pr1 0.0000 0.0000 0.0000
Au1 0.7620 0.7620 0.7140
Au2 0.2380 0.2380 0.2860
Ga1 0.1227 0.1227 0.6318
Ga2 0.3940 0.3940 0.8180
Ga3 0.8773 0.8773 0.3682
Mg1 0.5000 0.5000 0.5000
Ga4 0.6060 0.6060 0.1820



[4]
Compound: NaRuPbF2
Source: Alexandria
Functional: GGA-PBE
Structure: relaxed

Summary:
Formation energy (no corrections)   -645 meV/atom

Cell lengths 4.2790, 5.4226, 4.2790 Å; angles 90.00, 90.00, 90.00 degrees
Site moments in Bohr magnetons follow the coordinates.
Sites, in units of the cell vectors:
Pb1 0.0000 0.5000 0.0000  -0.01
Ru1 0.0000 0.0000 0.0000  0.85
Na1 0.5000 0.5000 0.5000  0.01
F1 0.5000 0.0000 0.0000  0.03
F2 0.0000 0.0000 0.5000  0.02



[5]
Compound: DyYSc
Source: Alexandria
Functional: GGA-PBE
Structure: relaxed

Summary:
Distance to the lowest polymorph of the same formula   0 meV/atom

Cell lengths 3.4220, 6.2457, 10.0506 Å; angles 95.34, 99.78, 56.80 degrees
Sites, in units of the cell vectors:
Dy1 0.4990 0.7810 0.5317
Sc1 0.5700 0.2811 0.6740
Dy2 0.2191 0.2812 0.9721
Y1 0.4042 0.2811 0.3423
Sc2 0.1481 0.7811 0.8297
Y2 0.3139 0.7812 0.1614



[6]
Compound: NbN2OF
Source: Alexandria
Functional: GGA-PBE
Structure: relaxed

Summary:
Formation energy (no corrections)   1056 meV/atom

Cell lengths 3.6347, 3.6347, 3.4974 Å; angles 90.00, 90.00, 90.00 degrees
Sites, in units of the cell vectors:
N1 0.0000 0.5000 0.0000
N2 0.5000 0.0000 0.0000
Nb1 0.5000 0.5000 0.5000
F1 0.0000 0.0000 0.5000
O1 0.0000 0.0000 0.0000



[7]
Compound: ZnRu2Rh
Source: Alexandria
Functional: GGA-PBE
Structure: relaxed

Summary:
Uncorrected energy   -26.62 eV per cell

Cell lengths 4.1022, 3.7027, 3.7027 Å; angles 90.00, 90.00, 90.00 degrees
Sites, in units of the cell vectors:
Ru1 0.0000 0.5000 0.5000
Rh1 0.5000 0.0000 0.5000
Ru2 0.0000 0.0000 0.0000
Zn1 0.5000 0.5000 0.0000



[8]
Compound: Sm4CdPd
Source: Alexandria
Functional: GGA-PBE
Structure: relaxed

Summary:
Distance to the lowest polymorph of the same formula   0 meV/atom

Cell lengths 9.8913, 9.8913, 9.8913 Å; angles 60.00, 60.00, 60.00 degrees
Sites, in units of the cell vectors:
Pd1 0.1441 0.5677 0.1441
Pd2 0.1441 0.1441 0.1441
Sm1 0.9350 0.5650 0.9350
Sm2 0.5650 0.9350 0.5650
Sm3 0.3526 0.3526 0.9423
Cd1 0.2568 0.5811 0.5811
Sm4 0.3526 0.9423 0.3526
Sm5 0.3526 0.3526 0.3526
Sm6 0.5650 0.5650 0.9350
Sm7 0.1919 0.1919 0.8081
Sm8 0.1919 0.8081 0.8081
Pd3 0.5677 0.1441 0.1441
Cd2 0.5811 0.2568 0.5811
Sm9 0.9350 0.5650 0.5650
Sm10 0.9350 0.9350 0.5650
Sm11 0.5650 0.9350 0.9350
Sm12 0.8081 0.8081 0.1919
Sm13 0.8081 0.1919 0.8081
Sm14 0.8081 0.1919 0.1919
Cd3 0.5811 0.5811 0.2568
Cd4 0.5811 0.5811 0.5811
Pd4 0.1441 0.1441 0.5677
Sm15 0.1919 0.8081 0.1919
Sm16 0.9423 0.3526 0.3526